The following is a GGA-PBE calculation of crystalline Al3InS at its relaxed geometry, from Alexandria via LeMat-Bulk.

POSCAR file:
```
Al3InS
1.0
-3.031 -3.563 2.206
3.990 -3.285 0.176
1.280 1.805 4.675
Al S In
3 1 1
Direct
0.000 0.000 0.500
0.000 0.500 0.000
0.500 0.000 0.000
0.500 0.500 0.500
0.000 0.000 0.000
```

polymorph energy (0 for the lowest one)	0.472	eV per atom
N(E_F)	1.66	states/eV/cell
raw formation energy	0.7824	eV per atom
raw total energy	-14.18	eV/f.u.

=====

The following is a GGA-PBE calculation of crystalline AlIn3S at its relaxed geometry, from Alexandria via LeMat-Bulk.

POSCAR file:
```
AlIn3S
1.0
-5.195 0.516 -1.160
0.107 -4.690 -2.567
-1.265 -2.517 4.545
S Al In
1 1 3
Direct
0.000 0.000 0.000
0.500 0.500 0.500
0.000 0.000 0.500
0.500 0.000 0.000
0.000 0.500 0.000
```

polymorph energy (0 for the lowest one)	0.125	eV per atom
N(E_F)	4.61	states/eV/cell
raw formation energy	0.4283	eV per atom
raw total energy	-13.94	eV/f.u.

=====

The following is a GGA-PBE calculation of crystalline AlInS4 at its relaxed geometry, from Alexandria via LeMat-Bulk.

POSCAR file:
```
AlInS4
1.0
3.636 0.125 -0.669
0.085 6.715 1.711
-1.775 2.495 11.222
S In Al
8 2 2
Direct
0.651 0.761 0.151
0.112 0.213 0.113
0.388 0.287 0.387
0.612 0.713 0.613
0.349 0.239 0.849
0.888 0.787 0.887
0.849 0.739 0.349
0.151 0.261 0.651
0.000 0.000 0.500
0.500 0.500 0.000
0.500 0.500 0.500
0.000 0.000 0.000
```

raw formation energy	-0.5482	eV per atom
raw total energy	-26.28	eV/f.u.

=====

The following is a GGA-PBE calculation of crystalline Al6InS8 at its relaxed geometry, from Alexandria via LeMat-Bulk.

POSCAR file:
```
Al6InS8
1.0
-5.852 2.828 1.721
-0.388 -4.159 5.269
3.339 4.499 3.717
Al S In
6 8 1
Direct
0.567 0.209 0.393
0.791 0.607 0.433
0.607 0.433 0.791
0.433 0.791 0.607
0.393 0.567 0.209
0.209 0.393 0.567
0.746 0.746 0.746
0.132 0.718 0.400
0.718 0.400 0.132
0.400 0.132 0.718
0.868 0.282 0.600
0.600 0.868 0.282
0.254 0.254 0.254
0.282 0.600 0.868
0.000 0.000 0.000
```

N(E_F)	5.51	states/eV/cell
raw formation energy	-0.6851	eV per atom
raw total energy	-68.49	eV/f.u.

=====

The following is a GGA-PBE calculation of crystalline AlIn3S at its relaxed geometry, from Alexandria via LeMat-Bulk.

POSCAR file:
```
AlIn3S
1.0
-1.116 3.648 -3.647
-5.149 -1.007 0.569
-0.302 3.679 3.772
In S Al
3 1 1
Direct
0.500 0.000 0.000
0.000 0.500 0.000
0.000 0.000 0.500
0.500 0.500 0.500
0.000 0.000 0.000
```

polymorph energy (0 for the lowest one)	0.000	eV per atom
N(E_F)	1.50	states/eV/cell
raw formation energy	0.3036	eV per atom
raw total energy	-14.57	eV/f.u.

=====

The following is a GGA-PBE calculation of crystalline AlInS3 at its relaxed geometry, from Alexandria via LeMat-Bulk.

POSCAR file:
```
AlInS3
1.0
3.713 0.000 0.000
-1.857 6.504 -0.558
0.000 0.234 10.687
S Al In
6 2 2
Direct
0.095 0.191 0.746
0.149 0.299 0.077
0.638 0.276 0.375
0.851 0.701 0.923
0.362 0.724 0.625
0.905 0.809 0.254
0.918 0.837 0.719
0.082 0.163 0.281
0.347 0.694 0.106
0.653 0.306 0.894
```

raw formation energy	-0.7305	eV per atom
raw total energy	-22.52	eV/f.u.

=====

The following is a GGA-PBE calculation of crystalline Al5In3S12 at its relaxed geometry, from Alexandria via LeMat-Bulk.

POSCAR file:
```
Al5In3S12
1.0
-5.218 11.287 -3.456
-9.385 -8.566 2.260
7.027 1.607 10.705
In Al S
12 20 48
Direct
0.250 0.625 0.875
0.125 0.250 0.875
0.250 0.125 0.375
0.625 0.375 0.750
0.875 0.750 0.125
0.875 0.125 0.250
0.750 0.875 0.625
0.375 0.625 0.250
0.625 0.250 0.375
0.125 0.875 0.750
0.750 0.375 0.125
0.375 0.750 0.625
0.000 0.500 0.500
0.875 0.250 0.625
0.375 0.250 0.125
0.375 0.125 0.750
0.125 0.750 0.375
0.000 0.500 0.000
0.000 0.000 0.000
0.500 0.500 0.000
0.500 0.000 0.500
0.125 0.375 0.250
0.750 0.125 0.875
0.000 0.000 0.500
0.750 0.625 0.375
0.250 0.375 0.625
0.625 0.750 0.875
0.250 0.875 0.125
0.500 0.500 0.500
0.500 0.000 0.000
0.625 0.875 0.250
0.875 0.625 0.750
0.080 0.904 0.374
0.470 0.676 0.096
0.874 0.580 0.904
0.596 0.626 0.420
0.920 0.824 0.794
0.176 0.080 0.706
0.794 0.470 0.374
0.596 0.970 0.676
0.096 0.176 0.470
0.580 0.874 0.404
0.126 0.706 0.530
0.530 0.206 0.126
0.206 0.530 0.626
0.824 0.920 0.294
0.904 0.080 0.874
0.030 0.626 0.706
0.080 0.176 0.206
0.904 0.824 0.530
0.420 0.294 0.324
0.126 0.420 0.096
0.920 0.096 0.626
0.626 0.596 0.920
0.530 0.324 0.904
0.324 0.530 0.404
0.294 0.874 0.970
0.580 0.706 0.676
0.420 0.126 0.596
0.874 0.294 0.470
0.176 0.096 0.970
0.404 0.030 0.324
0.404 0.374 0.580
0.294 0.420 0.824
0.676 0.206 0.580
0.030 0.404 0.824
0.706 0.126 0.030
0.206 0.676 0.080
0.824 0.904 0.030
0.324 0.794 0.420
0.676 0.470 0.596
0.706 0.580 0.176
0.970 0.374 0.294
0.626 0.030 0.206
0.374 0.404 0.080
0.970 0.596 0.176
0.096 0.920 0.126
0.470 0.794 0.874
0.794 0.324 0.920
0.374 0.970 0.794
```

N(E_F)	8.79	states/eV/cell
raw formation energy	-0.7134	eV per atom
raw total energy	-90.73	eV/f.u.

=====

The following is a GGA-PBE calculation of crystalline AlIn2S5 at its relaxed geometry, from Alexandria via LeMat-Bulk.

POSCAR file:
```
AlIn2S5
1.0
5.290 0.000 0.000
-2.645 6.288 0.000
0.000 0.000 11.339
Al S In
2 10 4
Direct
0.796 0.591 0.750
0.204 0.409 0.250
0.684 0.367 0.915
0.955 0.910 0.631
0.955 0.910 0.869
0.045 0.090 0.131
0.727 0.455 0.250
0.684 0.367 0.585
0.316 0.633 0.085
0.045 0.090 0.369
0.273 0.545 0.750
0.316 0.633 0.415
0.847 0.694 0.434
0.847 0.694 0.066
0.153 0.306 0.934
0.153 0.306 0.566
```

N(E_F)	12.56	states/eV/cell
raw formation energy	-0.4588	eV per atom
raw total energy	-33.53	eV/f.u.